Entry 1:
## K3LuP2O8 (SCAN)

Data for a PBEsol-optimized structure of K3LuP2O8.

Results
ΔE_f (raw): -2.892 eV per atom

```
data_K3LuP2O8
_chemical_formula_sum 'K9 Lu3 P6 O24'
_cell_length_a 9.5842
_cell_length_b 9.5842
_cell_length_c 7.6409
_cell_angle_alpha 90.00
_cell_angle_beta 90.00
_cell_angle_gamma 120.00
_symmetry_space_group_name_H-M 'P -3'
_symmetry_Int_Tables_number 147
loop_
_symmetry_equiv_pos_as_xyz
'x,y,z'
'-x,-y,-z'
'-y,x-y,z'
'y,-x+y,-z'
'-x+y,-x,z'
'x-y,x,-z'
loop_
_atom_site_label
_atom_site_type_symbol
_atom_site_fract_x
_atom_site_fract_y
_atom_site_fract_z
K1 K 0.0000 0.0000 0.0000
K2 K 0.0009 0.6669 0.7477
K3 K 0.3333 0.6667 0.9923
Lu1 Lu 0.0000 0.0000 0.5000
Lu2 Lu 0.3333 0.6667 0.4649
P1 P 0.0133 0.3408 0.7325
O1 O 0.0080 0.8228 0.3328
O2 O 0.0724 0.3701 0.9210
O3 O 0.1415 0.4790 0.6148
O4 O 0.1509 0.6644 0.2894
```

***

Entry 2:
## K3LiCd (SCAN)

Data for a PBEsol-optimized structure of K3LiCd.

Results
Energy of formation: 0.3071 eV per atom

```
data_K3LiCd
_chemical_formula_sum 'K3 Li1 Cd1'
_cell_length_a 6.5801
_cell_length_b 6.5801
_cell_length_c 6.5801
_cell_angle_alpha 90.00
_cell_angle_beta 90.00
_cell_angle_gamma 90.00
_symmetry_space_group_name_H-M 'P m -3 m'
_symmetry_Int_Tables_number 221
_symmetry_space_group_name_Hall '-P 4 2 3'
loop_
_atom_site_label
_atom_site_type_symbol
_atom_site_fract_x
_atom_site_fract_y
_atom_site_fract_z
K1 K 0.0000 0.0000 0.5000
Li1 Li 0.0000 0.0000 0.0000
Cd1 Cd 0.5000 0.5000 0.5000
```

***

Total energy, respectively: -13.676; -11.251 eV/atom.